(1)
A relaxed ErVPt2 crystal, computed with GGA-PBE.

extended XYZ file:
```
4
Lattice="3.318 0.000 0.000 0.000 3.318 0.000 0.000 0.000 6.531" Properties=species:S:1:pos:R:3 pbc="T T T"
Pt 0.000 0.000 1.418
Pt 0.000 0.000 5.113
Er 1.659 1.659 3.266
V 1.659 1.659 0.000
```

Space group: P4/mmm (123)
ΔH_f (0 K), meV per atom: -701.7



(2)
A relaxed Er5Co2Ir crystal, computed with GGA-PBE.

extended XYZ file:
```
16
Lattice="6.358 0.000 -3.001 -1.417 6.198 -3.001 0.188 0.236 8.633" Properties=species:S:1:pos:R:3 pbc="T T T"
Er 4.202 1.283 3.598
Er 0.000 0.000 0.000
Er 2.471 3.099 -3.001
Er -0.397 3.490 4.463
Er 5.526 2.944 -1.832
Er 3.902 6.043 -2.900
Er 0.927 5.151 -0.968
Er 1.227 0.391 5.531
Er 2.551 2.052 0.101
Er 2.578 4.382 2.530
Co 0.170 2.399 -1.501
Co 4.771 3.799 -4.502
Co 3.737 0.700 -2.179
Co 1.204 5.498 -3.824
Ir 3.800 4.766 -0.185
Ir 1.329 1.667 2.816
```

Space group: I4/mcm (140)
ΔH_f (0 K), meV per atom: -450.7



(3)
A relaxed Sr2RePt crystal, computed with GGA-PBE.

extended XYZ file:
```
8
Lattice="8.379 0.000 0.000 0.000 8.379 0.000 4.189 4.189 2.997" Properties=species:S:1:pos:R:3 pbc="T T T"
Pt 8.379 4.189 1.499
Pt 0.000 0.000 0.000
Sr 1.863 6.284 0.749
Sr 6.284 6.052 2.248
Sr 6.516 2.095 0.749
Sr 10.474 10.706 2.248
Re 4.189 8.379 1.499
Re 4.189 4.189 0.000
```

Space group: I-42d (122)
ΔH_f (0 K), meV per atom: 793.7



(4)
A relaxed K2Al2Hg crystal, computed with GGA-PBE.

extended XYZ file:
```
10
Lattice="7.159 0.000 0.000 0.000 7.159 0.000 0.000 0.000 5.904" Properties=species:S:1:pos:R:3 pbc="T T T"
K 5.854 2.274 2.952
K 4.885 5.854 2.952
K 2.274 1.305 2.952
K 1.305 4.885 2.952
Al 4.506 0.926 0.000
Al 0.926 2.654 0.000
Al 6.234 4.506 0.000
Al 2.654 6.234 0.000
Hg 0.000 0.000 0.000
Hg 3.580 3.580 0.000
```

Space group: P4/mbm (127)
ΔH_f (0 K), meV per atom: 130.5



(5)
A relaxed NiSnPt4 crystal, computed with GGA-PBE.

extended XYZ file:
```
12
Lattice="4.673 0.000 1.234 0.000 7.722 0.000 1.298 0.000 5.669" Properties=species:S:1:pos:R:3 pbc="T T T"
Pt 1.474 2.638 4.953
Pt 3.811 1.223 5.570
Pt 3.240 2.599 2.881
Pt 2.160 6.499 1.332
Pt 2.732 5.123 4.021
Pt 0.903 1.262 2.264
Pt 5.068 6.460 4.638
Pt 4.497 5.084 1.950
Ni 0.649 3.861 2.834
Ni 2.986 0.000 3.451
Sn 2.337 3.861 0.617
Sn 0.000 0.000 0.000
```

Space group: P2_1/c (14)
ΔH_f (0 K), meV per atom: -157.7



(6)
A relaxed Ga3PdPt crystal, computed with GGA-PBE.

extended XYZ file:
```
5
Lattice="4.772 0.000 0.000 0.000 4.772 0.000 0.000 0.000 4.772" Properties=species:S:1:pos:R:3 pbc="T T T"
Ga 0.000 0.000 2.386
Ga 0.000 2.386 0.000
Ga 2.386 0.000 0.000
Pd 2.386 2.386 2.386
Pt 0.000 0.000 0.000
```

Space group: Pm-3m (221)
ΔH_f (0 K), meV per atom: -16.1



(7)
A relaxed ZrNbN3 crystal, computed with GGA-PBE.

extended XYZ file:
```
5
Lattice="4.091 0.000 0.000 0.000 4.091 0.000 0.000 0.000 4.091" Properties=species:S:1:pos:R:3 pbc="T T T"
N 0.000 0.000 2.045
N 2.045 0.000 0.000
N 0.000 2.045 0.000
Nb 2.045 2.045 2.045
Zr 0.000 0.000 0.000
```

E_form (uncorrected), kcal/mol of atoms: 15.56
Space group: Pm-3m (221)



(8)
A relaxed DyScInRu crystal, computed with GGA-PBE.

extended XYZ file:
```
4
Lattice="-1.142 -3.999 2.638 3.574 -2.922 1.715 0.974 -0.127 4.826" Properties=species:S:1:pos:R:3 pbc="T T T"
Sc 0.000 0.000 0.000
Dy 1.703 -3.524 4.590
Ru 2.555 -5.286 6.884
In 0.852 -1.762 2.295
```

Space group: F-43m (216)
ΔH_f (0 K), meV per atom: -360.1



(9)
A relaxed K4Rb2GaAs2 crystal, computed with GGA-PBE.

extended XYZ file:
```
9
Lattice="-4.743 -1.893 -0.057 0.183 -9.802 4.959 -4.549 1.903 9.818" Properties=species:S:1:pos:R:3 pbc="T T T"
As -1.877 -1.632 2.104
As -7.232 -8.160 12.615
K -1.046 -7.304 3.719
K -4.833 -10.481 7.683
K -4.277 0.688 7.037
K -8.064 -2.488 11.001
Ga -2.372 -0.947 -0.029
Rb -3.215 -5.210 9.421
Rb -5.895 -4.582 5.299
```

Space group: C2/m (12)
ΔH_f (0 K), meV per atom: -223.0



(10)
A relaxed PrY4Er3 crystal, computed with GGA-PBE.

extended XYZ file:
```
8
Lattice="3.365 0.685 0.981 1.140 10.476 1.779 1.579 -0.278 7.806" Properties=species:S:1:pos:R:3 pbc="T T T"
Er 2.473 0.204 4.393
Er 4.725 5.786 5.773
Er 3.365 0.686 0.981
Y 4.045 3.207 3.389
Y 2.040 7.679 7.176
Y 2.921 8.156 3.793
Y 3.163 2.730 6.772
Pr 3.832 5.304 9.185
```

Space group: Pmmm (47)
ΔH_f (0 K), meV per atom: 26.1



(11)
A relaxed Li3ScNi crystal, computed with GGA-PBE.

extended XYZ file:
```
5
Lattice="4.460 0.000 0.000 0.000 4.460 0.000 0.000 0.000 4.460" Properties=species:S:1:pos:R:3 pbc="T T T"
Sc 2.230 2.230 2.230
Li 0.000 0.000 2.230
Li 2.230 0.000 0.000
Li 0.000 2.230 0.000
Ni 0.000 0.000 0.000
```

Space group: Pm-3m (221)
ΔH_f (0 K), meV per atom: 354.9



(12)
A relaxed NaSrSeCl crystal, computed with GGA-PBE.

extended XYZ file:
```
4
Lattice="-4.344 0.752 -0.052 -2.317 -0.206 3.745 -1.068 6.916 2.315" Properties=species:S:1:pos:R:3 pbc="T T T"
Se -1.070 6.901 2.312
Na -5.759 5.818 4.542
Sr -1.951 1.755 1.484
Cl -3.881 3.636 2.989
```

E_form (uncorrected), kcal/mol of atoms: -42.51
Space group: R3m (160)



Number 1: final energy -7.14 eV per atom. Number 2: final energy -6.19 eV per atom. Number 3: final energy -4.67 eV per atom. Number 4: final energy -1.87 eV per atom. Number 5: final energy -5.82 eV per atom. Number 6: final energy -4.08 eV per atom. Number 7: final energy -8.04 eV per atom. Number 8: final energy -6.10 eV per atom. Number 9: final energy -2.30 eV per atom. Number 10: final energy -5.51 eV per atom. Number 11: final energy -3.22 eV per atom. Number 12: final energy -3.93 eV per atom.